Entry from the Alexandria database: a crystal of Ba2CaTl relaxed with PBEsol (meta-GGA SCAN).

a b c (Å): 5.964 5.964 4.552
angles (deg): 90.00 90.00 90.00
Sites, in units of the cell vectors:
Ba1 0.000 0.500 0.000
Ba2 0.500 0.000 0.000
Ca1 0.000 0.000 0.500
Tl1 0.500 0.500 0.500

## Properties
**VASP energy**: -40.521 eV per atom
**Distance to the lowest polymorph of the same formula**: 80 meV per atom
**Space group**: P4/mmm (123)
**ΔH_f (0 K)**: -0.24 eV per atom
**Theoretical density**: 5.32 g/cm³